This record from Alexandria via LeMat-Bulk describes a relaxed MnSbAsCl2 crystal. The functional is PBE.

Results
Its symmetry is P4/mmm, No. 123. The calculation puts the formation energy from raw total energies at -1.93 kcal/mol of atoms. The calculation puts the total magnetization at 1.00 μB per atom. For the excess energy over the best structure of this formula in the dataset, the calculation gives 0.0 meV/atom.

Unit cell a=4.5464 b=6.1158 c=4.5464 alpha=90.00 beta=90.00 gamma=90.00
Site moments in Bohr magnetons follow the coordinates.
Sites, in units of the cell vectors:
1 Sb 0.0000 0.5000 0.0000  -0.22
2 As 0.5000 0.5000 0.5000  0.56
3 Mn 0.0000 0.0000 0.0000  3.83
4 Cl 0.0000 0.0000 0.5000  0.06
5 Cl 0.5000 0.0000 0.0000  0.11